VASP calculation (PBE) on a geometry-optimized BeAlSe2Br structure.

The calculation puts the total magnetization at 0.0 Bohr magnetons per cell. The distance to the lowest polymorph of the same formula comes out at 0.288 eV/atom. The raw formation energy comes out at 0.378 eV per atom. Its space group is P4/mmm.

Unit cell a=4.9587 b=4.9587 c=4.8653 alpha=90.00 beta=90.00 gamma=90.00
Positions (direct):
Be1 0.0000 0.0000 0.0000
Al1 0.5000 0.5000 0.5000
Se1 0.0000 0.5000 0.5000
Se2 0.5000 0.0000 0.5000
Br1 0.5000 0.5000 0.0000

=====

VASP calculation (PBE) on a geometry-optimized BeAlSeBr2 structure.

The calculation puts the total magnetization at 0.0 Bohr magnetons per cell. The distance to the lowest polymorph of the same formula comes out at 0.000 eV/atom. The raw formation energy comes out at -0.056 eV per atom. Its space group is P4/mmm.

Unit cell a=4.7963 b=4.7963 c=4.8494 alpha=90.00 beta=90.00 gamma=90.00
Positions (direct):
Be1 0.0000 0.0000 0.0000
Al1 0.5000 0.5000 0.5000
Se1 0.0000 0.0000 0.5000
Br1 0.0000 0.5000 0.0000
Br2 0.5000 0.0000 0.0000

=====

VASP calculation (PBE) on a geometry-optimized BeAlSi2Br structure.

The calculation puts the total magnetization at 0.0 Bohr magnetons per cell. The raw formation energy comes out at 0.920 eV per atom. Its space group is P4/mmm.

Unit cell a=4.9617 b=4.9617 c=4.4942 alpha=90.00 beta=90.00 gamma=90.00
Positions (direct):
Be1 0.0000 0.0000 0.0000
Al1 0.0000 0.0000 0.5000
Si1 0.0000 0.5000 0.5000
Si2 0.5000 0.0000 0.5000
Br1 0.5000 0.5000 0.0000